--- P ---
This record from Alexandria via LeMat-Bulk describes a geometry-optimized Pm4PrHg structure. The functional is PBE.

Cell and atoms, written as CIF:
```
data_Pm4PrHg
_cell_length_a 3.6948
_cell_length_b 3.6948
_cell_length_c 14.2911
_cell_angle_alpha 90.00
_cell_angle_beta 90.00
_cell_angle_gamma 90.00
_symmetry_space_group_name_H-M 'P 1'
_symmetry_Int_Tables_number 1
loop_
_symmetry_equiv_pos_as_xyz
'x,y,z'
loop_
_atom_site_label
_atom_site_type_symbol
_atom_site_fract_x
_atom_site_fract_y
_atom_site_fract_z
Pm1 Pm 0.5000 0.5000 0.1813
Pm2 Pm 0.0000 0.0000 0.6413
Pm3 Pm 0.0000 0.0000 0.3587
Pm4 Pm 0.5000 0.5000 0.8187
Pr1 Pr 0.0000 0.0000 0.0000
Hg1 Hg 0.5000 0.5000 0.5000
```

Calculated values
total magnetization = 0.00 μB per formula unit
symmetry = P4/mmm, No. 123
mass density = 7.84 Mg/m³

--- Q ---
This record from Alexandria via LeMat-Bulk describes a geometry-optimized Pm4PrHg structure. The functional is PBE.

Cell and atoms, written as CIF:
```
data_Pm4PrHg
_cell_length_a 5.5950
_cell_length_b 6.6912
_cell_length_c 11.1947
_cell_angle_alpha 90.00
_cell_angle_beta 104.47
_cell_angle_gamma 90.00
_symmetry_space_group_name_H-M 'P 1'
_symmetry_Int_Tables_number 1
loop_
_symmetry_equiv_pos_as_xyz
'x,y,z'
loop_
_atom_site_label
_atom_site_type_symbol
_atom_site_fract_x
_atom_site_fract_y
_atom_site_fract_z
Pm1 Pm 0.9338 0.2084 0.8676
Pm2 Pm 0.0662 0.7084 0.1324
Pm3 Pm 0.4677 0.8733 0.9354
Pm4 Pm 0.5323 0.3733 0.0646
Pm5 Pm 0.6739 0.5627 0.3478
Pm6 Pm 0.3261 0.0627 0.6522
Pm7 Pm 0.7471 0.0985 0.4943
Pm8 Pm 0.2529 0.5985 0.5057
Pr1 Pr 0.8664 0.7183 0.7327
Pr2 Pr 0.1336 0.2183 0.2673
Hg1 Hg 0.6075 0.9722 0.2150
Hg2 Hg 0.3925 0.4722 0.7850
```

Calculated values
total magnetization = 0.00 μB per formula unit
symmetry = Cmc2_1, No. 36
mass density = 7.54 Mg/m³

Tell me which of them is the least stable. Sure, it is Q.

--- P ---
This record from Alexandria via LeMat-Bulk describes a geometry-optimized PmPr2Hg structure. The functional is PBE.

Cell and atoms, written as CIF:
```
data_PmPr2Hg
_cell_length_a 3.7556
_cell_length_b 3.7556
_cell_length_c 11.1590
_cell_angle_alpha 80.31
_cell_angle_beta 80.31
_cell_angle_gamma 60.00
_symmetry_space_group_name_H-M 'P 1'
_symmetry_Int_Tables_number 1
loop_
_symmetry_equiv_pos_as_xyz
'x,y,z'
loop_
_atom_site_label
_atom_site_type_symbol
_atom_site_fract_x
_atom_site_fract_y
_atom_site_fract_z
Pm1 Pm 0.4998 0.4998 0.5007
Pr1 Pr 0.0759 0.0759 0.7724
Pr2 Pr 0.2576 0.2576 0.2273
Hg1 Hg 0.6668 0.6668 0.9996
```

Calculated values
total magnetization = 0.00 μB per formula unit
symmetry = R3m, No. 160
mass density = 7.79 Mg/m³

--- Q ---
This record from Alexandria via LeMat-Bulk describes a geometry-optimized PmPr2Hg structure. The functional is PBE.

Cell and atoms, written as CIF:
```
data_PmPr2Hg
_cell_length_a 5.5915
_cell_length_b 5.5915
_cell_length_c 5.5915
_cell_angle_alpha 60.00
_cell_angle_beta 60.00
_cell_angle_gamma 60.00
_symmetry_space_group_name_H-M 'P 1'
_symmetry_Int_Tables_number 1
loop_
_symmetry_equiv_pos_as_xyz
'x,y,z'
loop_
_atom_site_label
_atom_site_type_symbol
_atom_site_fract_x
_atom_site_fract_y
_atom_site_fract_z
Pr1 Pr 0.2500 0.2500 0.2500
Pr2 Pr 0.7500 0.7500 0.7500
Hg1 Hg 0.5000 0.5000 0.5000
Pm1 Pm 0.0000 0.0000 0.0000
```

Calculated values
total magnetization = 0.00 μB per formula unit
symmetry = Fm-3m, No. 225
mass density = 8.43 Mg/m³

--- R ---
This record from Alexandria via LeMat-Bulk describes a geometry-optimized PmPr2Hg structure. The functional is PBE.

Cell and atoms, written as CIF:
```
data_PmPr2Hg
_cell_length_a 4.9635
_cell_length_b 4.9681
_cell_length_c 4.9681
_cell_angle_alpha 90.00
_cell_angle_beta 90.00
_cell_angle_gamma 90.00
_symmetry_space_group_name_H-M 'P 1'
_symmetry_Int_Tables_number 1
loop_
_symmetry_equiv_pos_as_xyz
'x,y,z'
loop_
_atom_site_label
_atom_site_type_symbol
_atom_site_fract_x
_atom_site_fract_y
_atom_site_fract_z
Pr1 Pr 0.0000 0.0000 0.5000
Pr2 Pr 0.0000 0.5000 0.0000
Hg1 Hg 0.5000 0.0000 0.0000
Pm1 Pm 0.5000 0.5000 0.5000
```

Calculated values
total magnetization = 0.00 μB per formula unit
symmetry = P4/mmm, No. 123
mass density = 8.50 Mg/m³

--- S ---
This record from Alexandria via LeMat-Bulk describes a geometry-optimized PmPr2Hg structure. The functional is PBE.

Cell and atoms, written as CIF:
```
data_PmPr2Hg
_cell_length_a 3.7738
_cell_length_b 3.7738
_cell_length_c 9.0402
_cell_angle_alpha 90.00
_cell_angle_beta 90.00
_cell_angle_gamma 90.00
_symmetry_space_group_name_H-M 'P 1'
_symmetry_Int_Tables_number 1
loop_
_symmetry_equiv_pos_as_xyz
'x,y,z'
loop_
_atom_site_label
_atom_site_type_symbol
_atom_site_fract_x
_atom_site_fract_y
_atom_site_fract_z
Pr1 Pr 0.0000 0.0000 0.7782
Pr2 Pr 0.0000 0.0000 0.2218
Hg1 Hg 0.5000 0.5000 0.0000
Pm1 Pm 0.5000 0.5000 0.5000
```

Calculated values
total magnetization = 0.00 μB per formula unit
symmetry = P4/mmm, No. 123
mass density = 8.09 Mg/m³

Tell me which of them is the least stable. Sure, it is Q.

--- P ---
This record from Alexandria via LeMat-Bulk describes a geometry-optimized PmPr2Hg4 structure. The functional is PBE.

Cell and atoms, written as CIF:
```
data_PmPr2Hg4
_cell_length_a 5.2446
_cell_length_b 5.2446
_cell_length_c 9.5271
_cell_angle_alpha 74.02
_cell_angle_beta 74.02
_cell_angle_gamma 60.00
_symmetry_space_group_name_H-M 'P 1'
_symmetry_Int_Tables_number 1
loop_
_symmetry_equiv_pos_as_xyz
'x,y,z'
loop_
_atom_site_label
_atom_site_type_symbol
_atom_site_fract_x
_atom_site_fract_y
_atom_site_fract_z
Pm1 Pm 0.0000 0.0000 0.0000
Pr1 Pr 0.7566 0.7566 0.7303
Pr2 Pr 0.2434 0.2434 0.2697
Hg1 Hg 0.8738 0.8738 0.3786
Hg2 Hg 0.1262 0.1262 0.6214
Hg3 Hg 0.6269 0.6269 0.1193
Hg4 Hg 0.3731 0.3731 0.8807
```

Calculated values
total magnetization = 0.00 μB per formula unit
symmetry = R-3m, No. 166
mass density = 9.49 Mg/m³

--- Q ---
This record from Alexandria via LeMat-Bulk describes a geometry-optimized PmPr2Hg4 structure. The functional is PBE.

Cell and atoms, written as CIF:
```
data_PmPr2Hg4
_cell_length_a 5.7489
_cell_length_b 5.7489
_cell_length_c 8.9123
_cell_angle_alpha 108.82
_cell_angle_beta 108.82
_cell_angle_gamma 90.00
_symmetry_space_group_name_H-M 'P 1'
_symmetry_Int_Tables_number 1
loop_
_symmetry_equiv_pos_as_xyz
'x,y,z'
loop_
_atom_site_label
_atom_site_type_symbol
_atom_site_fract_x
_atom_site_fract_y
_atom_site_fract_z
Pm1 Pm 0.0000 0.0000 0.0000
Pr1 Pr 0.6047 0.6047 0.2094
Pr2 Pr 0.3953 0.3953 0.7906
Hg1 Hg 0.8050 0.8050 0.6099
Hg2 Hg 0.1950 0.1950 0.3901
Hg3 Hg 0.0000 0.5000 0.0000
Hg4 Hg 0.5000 0.0000 0.0000
```

Calculated values
total magnetization = 0.00 μB per formula unit
symmetry = I4/mmm, No. 139
mass density = 7.79 Mg/m³

Tell me which of them is the least stable. Sure, it is Q.

--- P ---
This record from Alexandria via LeMat-Bulk describes a geometry-optimized Pm2PrHg7 structure. The functional is PBE.

Cell and atoms, written as CIF:
```
data_Pm2PrHg7
_cell_length_a 5.1403
_cell_length_b 5.1403
_cell_length_c 12.6455
_cell_angle_alpha 90.00
_cell_angle_beta 90.00
_cell_angle_gamma 120.00
_symmetry_space_group_name_H-M 'P 1'
_symmetry_Int_Tables_number 1
loop_
_symmetry_equiv_pos_as_xyz
'x,y,z'
loop_
_atom_site_label
_atom_site_type_symbol
_atom_site_fract_x
_atom_site_fract_y
_atom_site_fract_z
Pm1 Pm 0.3333 0.6667 0.6894
Pm2 Pm 0.6667 0.3333 0.3533
Pr1 Pr 0.0000 0.0000 0.0133
Hg1 Hg 0.6667 0.3333 0.5954
Hg2 Hg 0.6667 0.3333 0.8509
Hg3 Hg 0.0000 0.0000 0.7520
Hg4 Hg 0.0000 0.0000 0.2703
Hg5 Hg 0.3333 0.6667 0.4365
Hg6 Hg 0.3333 0.6667 0.9442
Hg7 Hg 0.6667 0.3333 0.1112
```

Calculated values
total magnetization = 0.00 μB per formula unit
symmetry = P3m1, No. 156
mass density = 10.53 Mg/m³

--- Q ---
This record from Alexandria via LeMat-Bulk describes a geometry-optimized Pm2PrHg7 structure. The functional is PBE.

Cell and atoms, written as CIF:
```
data_Pm2PrHg7
_cell_length_a 5.0810
_cell_length_b 5.0810
_cell_length_c 12.2887
_cell_angle_alpha 90.00
_cell_angle_beta 90.00
_cell_angle_gamma 120.00
_symmetry_space_group_name_H-M 'P 1'
_symmetry_Int_Tables_number 1
loop_
_symmetry_equiv_pos_as_xyz
'x,y,z'
loop_
_atom_site_label
_atom_site_type_symbol
_atom_site_fract_x
_atom_site_fract_y
_atom_site_fract_z
Pm1 Pm 0.6667 0.3333 0.3304
Pm2 Pm 0.3333 0.6667 0.6466
Pr1 Pr 0.0000 0.0000 0.9680
Hg1 Hg 0.3333 0.6667 0.4030
Hg2 Hg 0.3333 0.6667 0.1477
Hg3 Hg 0.0000 0.0000 0.2398
Hg4 Hg 0.0000 0.0000 0.5171
Hg5 Hg 0.6667 0.3333 0.7781
Hg6 Hg 0.6667 0.3333 0.0629
Hg7 Hg 0.3333 0.6667 0.8898
```

Calculated values
total magnetization = 0.00 μB per formula unit
symmetry = P3m1, No. 156
mass density = 11.09 Mg/m³

Tell me which of them is the least stable. Sure, it is P.